Entry 1:
Below is an optimized crystal structure of Ta2CuAgB, with properties calculated at the PBE level.

Cell and atoms, written as POSCAR:
```
Ta2CuAgB
1.0
-3.504 2.242 -1.221
-0.581 -2.655 -3.209
-2.482 -2.505 2.522
Ta B Ag Cu
2 1 1 1
Cartesian
-1.752 1.121 -0.611
-1.241 -1.252 1.261
0.000 0.000 0.000
-0.290 -1.328 -1.605
-3.283 -1.459 -0.954
```

Space-group type   No. 123
Mass density   11.43 g/cm3
Electronic total energy   -7.05 eV/atom



Entry 2:
Below is an optimized crystal structure of PrEuCu2, with properties calculated at the PBE level.

Cell and atoms, written as POSCAR:
```
PrEuCu2
1.0
3.640 0.000 0.000
0.000 3.640 0.000
0.000 0.000 7.256
Cu Pr Eu
2 1 1
Cartesian
0.000 0.000 5.612
0.000 0.000 1.645
1.820 1.820 0.000
1.820 1.820 3.628
```

Space-group type   No. 123
Mass density   7.25 g/cm3
Electronic total energy   -5.92 eV/atom
Excess energy over the best structure of this formula in the dataset   0.000 eV/atom



Entry 3:
Below is an optimized crystal structure of HfZr2Sb, with properties calculated at the PBE level.

Cell and atoms, written as POSCAR:
```
HfZr2Sb
1.0
-1.958 -2.157 1.442
5.998 -2.120 1.327
-8.197 8.289 5.426
Zr Hf Sb
4 2 2
Cartesian
-7.644 5.682 6.845
-4.645 4.622 7.508
-4.906 2.147 3.851
-1.907 1.087 4.514
3.299 -0.742 2.909
0.300 0.318 2.246
-5.296 4.993 4.627
-2.297 3.933 5.290
```

Space-group type   No. 12
E_form (uncorrected)   -79 kJ/mol of formula units
Mass density   8.69 g/cm3
Electronic total energy   -8.00 eV/atom



Entry 4:
Below is an optimized crystal structure of RbTl2TcF8, with properties calculated at the PBE level.

Cell and atoms, written as POSCAR:
```
RbTl2TcF8
1.0
-3.369 -0.500 -3.514
0.557 -6.058 1.594
-5.915 0.912 5.540
F Tl Rb Tc
8 2 1 1
Cartesian
-4.559 -1.447 1.375
-3.975 -1.459 -1.941
-1.116 -1.171 -0.998
-4.169 -4.200 2.244
-7.611 -4.475 4.617
-0.869 -4.785 1.924
-7.859 -0.861 1.695
-4.753 -4.188 5.560
-5.794 -2.603 3.150
-2.934 -3.044 0.470
-2.958 0.456 2.770
0.000 0.000 0.000
```

Space-group type   No. 10
E_form (uncorrected)   -2469 kJ/mol of formula units
Mass density   4.98 g/cm3
Electronic total energy   -4.72 eV/atom



Entry 5:
Below is an optimized crystal structure of ZrCSN2, with properties calculated at the PBE level.

Cell and atoms, written as POSCAR:
```
ZrCSN2
1.0
-1.922 -2.584 1.917
0.607 -2.484 -2.740
3.140 -1.088 1.683
N Zr C S
2 1 1 1
Cartesian
-0.961 -1.292 0.959
0.304 -1.242 -1.370
0.913 -3.078 0.430
0.000 0.000 0.000
1.570 -0.544 0.841
```

Space-group type   No. 123
E_form (uncorrected)   550 kJ/mol of formula units
Mass density   5.18 g/cm3
Electronic total energy   -6.57 eV/atom
Excess energy over the best structure of this formula in the dataset   0.000 eV/atom



Entry 6:
Below is an optimized crystal structure of Nd2DyTm3S6, with properties calculated at the PBE level.

Cell and atoms, written as POSCAR:
```
Nd2DyTm3S6
1.0
3.892 0.000 0.000
0.000 7.948 0.205
-1.946 -2.374 8.266
Tm S Dy Nd
3 6 1 2
Cartesian
0.000 5.824 2.957
1.946 3.974 0.102
1.946 -0.250 5.513
0.000 5.819 5.692
0.000 5.922 0.238
1.946 3.967 2.791
1.946 -0.245 2.779
0.000 1.607 5.679
1.946 -0.348 8.232
1.946 0.000 0.000
1.946 3.707 5.633
0.000 1.867 2.838
```

Space-group type   No. 12
E_form (uncorrected)   -2287 kJ/mol of formula units
Mass density   7.41 g/cm3
Electronic total energy   -6.34 eV/atom



Entry 7:
Below is an optimized crystal structure of HfP2Os2, with properties calculated at the PBE level.

Cell and atoms, written as POSCAR:
```
HfP2Os2
1.0
4.039 0.000 0.000
0.000 4.039 0.000
2.020 2.020 4.595
Hf Os P
1 2 2
Cartesian
0.000 0.000 0.000
4.039 2.020 2.298
2.020 4.039 2.298
2.020 2.020 1.088
4.039 4.039 3.508
```

Space-group type   No. 139
Mass density   13.75 g/cm3
Electronic total energy   -9.14 eV/atom
Excess energy over the best structure of this formula in the dataset   0.000 eV/atom



Entry 8:
Below is an optimized crystal structure of Pm8NdDy3, with properties calculated at the PBE level.

Cell and atoms, written as POSCAR:
```
Pm8NdDy3
1.0
8.343 -1.333 -2.343
-5.955 6.305 -1.286
1.150 1.333 8.589
Pm Dy Nd
8 3 1
Cartesian
0.364 1.915 2.867
3.173 4.387 2.095
5.568 0.586 -1.545
3.041 1.205 0.735
0.499 5.096 4.220
-2.028 5.723 6.503
7.611 1.210 3.749
-4.076 5.101 1.216
-0.052 4.467 0.079
3.590 1.838 4.881
5.941 2.486 1.308
2.388 4.973 -3.629
```

Space-group type   No. 71
Mass density   6.83 g/cm3
Electronic total energy   -4.38 eV/atom



Entry 9:
Below is an optimized crystal structure of TlTcRh2, with properties calculated at the PBE level.

Cell and atoms, written as POSCAR:
```
TlTcRh2
1.0
4.509 0.000 0.000
2.255 3.905 0.000
2.255 1.302 3.682
Rh Tl Tc
2 1 1
Cartesian
0.000 0.000 0.000
6.764 3.905 2.761
2.255 1.302 0.920
4.509 2.603 1.841
```

Space-group type   No. 216
Mass density   13.02 g/cm3
Electronic total energy   -6.45 eV/atom
Excess energy over the best structure of this formula in the dataset   0.322 eV/atom



Entry 10:
Below is an optimized crystal structure of Na8Hg2Bi, with properties calculated at the PBE level.

Cell and atoms, written as POSCAR:
```
Na8Hg2Bi
1.0
-2.536 -3.194 3.422
-4.020 -2.963 -5.740
9.183 -2.781 0.092
Bi Na Hg
1 8 2
Cartesian
4.160 -5.794 -4.933
-4.625 -5.537 -2.943
0.433 -5.779 0.588
5.836 -5.229 0.974
5.877 -4.520 -2.475
2.797 -4.765 3.283
-1.508 -4.501 -3.800
2.034 -5.833 -2.405
0.042 -2.657 -0.935
3.059 -4.025 0.033
-2.349 -4.988 -0.742
```

Space-group type   No. 1
Mass density   3.88 g/cm3
Electronic total energy   -1.57 eV/atom
Excess energy over the best structure of this formula in the dataset   0.004 eV/atom



Entry 11:
Below is an optimized crystal structure of Tb2Nd4Dy3, with properties calculated at the PBE level.

Cell and atoms, written as POSCAR:
```
Tb2Nd4Dy3
1.0
6.377 -0.233 -0.167
-0.233 9.901 -0.279
-0.233 2.926 9.463
Nd Tb Dy
8 4 6
Cartesian
5.967 5.218 7.446
0.178 9.611 4.772
2.544 5.096 1.539
3.132 3.748 6.393
-0.057 7.376 1.571
2.779 8.846 2.623
5.733 2.983 4.245
3.367 7.498 7.477
0.270 8.820 8.055
2.452 2.243 3.346
3.459 10.351 5.671
5.641 3.774 0.962
3.292 10.880 8.932
2.619 1.714 0.085
4.550 6.391 4.254
0.103 12.077 7.505
1.361 6.203 4.763
5.808 0.517 1.512
```

Space-group type   No. 15
Mass density   7.63 g/cm3
Electronic total energy   -4.54 eV/atom
Excess energy over the best structure of this formula in the dataset   0.125 eV/atom



Entry 12:
Below is an optimized crystal structure of Li2PrOsO6, with properties calculated at the PBE level.

Cell and atoms, written as POSCAR:
```
Li2PrOsO6
1.0
5.409 -0.002 -0.001
-2.706 4.685 0.000
-2.702 -1.559 4.821
Li Pr Os O
2 1 1 6
Cartesian
0.042 0.020 3.996
0.040 3.144 1.684
-2.664 1.582 2.437
0.041 3.145 4.656
0.674 1.776 3.435
-1.459 3.280 3.434
-0.771 1.392 0.829
1.964 3.315 0.830
1.636 0.040 0.829
-1.794 -0.308 3.434
```

Space-group type   No. 146
E_form (uncorrected)   -1795 kJ/mol of formula units
Mass density   6.00 g/cm3
Electronic total energy   -6.82 eV/atom